Entry 1:
PrGdZr2Sb2 (PBE-GGA, optimized geometry); total magnetic moment = 0.0 μB per cell; VASP energy = -6.606 eV per atom
1.0
-2.1675 2.1675 8.5008
2.1675 -2.1675 8.5008
2.1675 2.1675 -8.5008
Pr Gd Zr Sb
1 1 2 2
direct
0.0000 0.0000 0.0000
0.3541 0.3541 0.0000
0.1794 0.6794 0.5000
0.6794 0.1794 0.5000
0.5503 0.5503 0.0000
0.8082 0.8082 0.0000

---

Entry 2:
TaCoGeAu (PBE-GGA, optimized geometry); total magnetic moment = 0.0 μB per cell; VASP energy = -6.465 eV per atom
1.0
0.0000 3.1581 3.1581
3.1581 0.0000 3.1581
3.1581 3.1581 0.0000
Ta Co Ge Au
1 1 1 1
direct
0.0000 0.0000 0.0000
0.7500 0.7500 0.7500
0.5000 0.5000 0.5000
0.2500 0.2500 0.2500

---

Entry 3:
TbYAl2Pd4 (PBE-GGA, optimized geometry); total magnetic moment = 0.0 μB per cell; VASP energy = -5.853 eV per atom
1.0
4.3749 0.0000 0.0000
-2.1875 3.7888 0.0000
0.0000 0.0000 9.1279
Tb Y Al Pd
1 1 2 4
direct
0.0000 0.0000 0.0000
0.3333 0.6667 0.5000
0.6667 0.3333 0.2501
0.6667 0.3333 0.7499
0.0000 0.0000 0.3292
0.0000 0.0000 0.6708
0.3333 0.6667 0.1707
0.3333 0.6667 0.8293

---

Entry 4:
CuPPb (PBE-GGA, optimized geometry); VASP energy = -4.232 eV per atom
1.0
3.9468 0.0000 0.0000
0.0000 3.9468 0.0000
0.0000 0.0000 7.7747
Cu P Pb
2 2 2
direct
0.2500 0.7500 0.0000
0.7500 0.2500 0.0000
0.2500 0.2500 0.1885
0.7500 0.7500 0.8115
0.2500 0.2500 0.6680
0.7500 0.7500 0.3320

---

Entry 5:
AcPt (PBE-GGA, optimized geometry); total magnetic moment = 0.0 μB per cell; VASP energy = -5.790 eV per atom
1.0
3.7712 0.0000 0.0000
-1.8856 3.2659 0.0000
0.0000 0.0000 4.3102
Ac Pt
1 1
direct
0.0000 0.0000 0.0000
0.6667 0.3333 0.5000

---

Entry 6:
PaCF (PBE-GGA, optimized geometry); total magnetic moment = 0.3 μB per cell; VASP energy = -8.662 eV per atom
1.0
3.5455 -1.7899 0.0000
3.5455 1.7899 0.0000
-0.8714 0.0000 6.6301
Pa C F
2 2 2
direct
0.1524 0.1524 0.2027
0.8476 0.8476 0.7973
0.4245 0.4245 0.0607
0.5755 0.5755 0.9393
0.1687 0.1687 0.6033
0.8313 0.8313 0.3967

---

Entry 7:
TbYIn4Fe2 (PBE-GGA, optimized geometry); total magnetic moment = 4.0 μB per cell; VASP energy = -5.004 eV per atom
1.0
7.5504 0.0000 0.0000
0.0000 2.1461 5.3124
0.0000 -2.1461 5.3124
Tb Y In Fe
1 1 4 2
direct
0.0000 0.0000 0.0000
0.5000 0.8625 0.8625
0.2004 0.2905 0.2905
0.3000 0.5720 0.5720
0.7000 0.5720 0.5720
0.7996 0.2905 0.2905
0.0000 0.7202 0.7202
0.5000 0.1428 0.1428

---

Entry 8:
CoReNiBi (PBE-GGA, optimized geometry); total magnetic moment = 1.8 μB per cell; VASP energy = -6.549 eV per atom
1.0
0.0000 3.1181 3.1181
3.1181 0.0000 3.1181
3.1181 3.1181 0.0000
Co Re Ni Bi
1 1 1 1
direct
0.0000 0.0000 0.0000
0.5000 0.5000 0.5000
0.2500 0.2500 0.2500
0.7500 0.7500 0.7500

---

Entry 9:
Hg2GeO4 (PBE-GGA, optimized geometry); VASP energy = -4.300 eV per atom
1.0
0.0000 4.5806 4.5806
4.5806 0.0000 4.5806
4.5806 4.5806 0.0000
Hg Ge O
4 2 8
direct
0.0000 0.0000 0.0000
0.0000 0.0000 0.5000
0.0000 0.5000 0.0000
0.5000 0.0000 0.0000
0.3750 0.3750 0.3750
0.6250 0.6250 0.6250
0.2617 0.2617 0.2617
0.2617 0.2617 0.7148
0.2617 0.7148 0.2617
0.2852 0.7383 0.7383
0.7148 0.2617 0.2617
0.7383 0.2852 0.7383
0.7383 0.7383 0.2852
0.7383 0.7383 0.7383

---

Entry 10:
Hf4SnTeC2 (PBE-GGA, optimized geometry); total magnetic moment = 0.0 μB per cell; VASP energy = -8.965 eV per atom
1.0
3.4336 0.0000 0.0000
-1.7168 2.9736 0.0000
0.0000 0.0000 13.8049
Hf Sn Te C
4 1 1 2
direct
0.0000 0.0000 0.1562
0.0000 0.0000 0.8438
0.6667 0.3333 0.3282
0.6667 0.3333 0.6718
0.0000 0.0000 0.5000
0.6667 0.3333 0.0000
0.3333 0.6667 0.2428
0.3333 0.6667 0.7572

---

Entry 11:
YIn2Co (PBE-GGA, optimized geometry); total magnetic moment = 0.7 μB per cell; VASP energy = -4.768 eV per atom
1.0
0.0000 3.4479 3.4479
3.4479 0.0000 3.4479
3.4479 3.4479 0.0000
Y In Co
1 2 1
direct
0.0000 0.0000 0.0000
0.5000 0.5000 0.5000
0.7500 0.7500 0.7500
0.2500 0.2500 0.2500

---

Entry 12:
Rb2NaTcH6 (PBE-GGA, optimized geometry); total magnetic moment = 2.0 μB per cell; VASP energy = -3.427 eV per atom
1.0
5.0805 -2.9434 0.0000
5.0805 2.9434 0.0000
-3.3767 0.0000 4.8291
Rb Na Tc H
2 1 1 6
direct
0.2499 0.2499 0.2503
0.7501 0.7501 0.7497
0.0000 0.0000 0.5000
0.5000 0.5000 0.0000
0.2835 0.2835 0.7818
0.2843 0.7165 0.2171
0.2835 0.7157 0.7829
0.7165 0.2843 0.2171
0.7157 0.2835 0.7829
0.7165 0.7165 0.2182